# V2BiRhPb, optimized geometry, DFT PBE-GGA
# * energy of formation: 713 meV per atom
# * total DFT energy (no corrections): -5.922 eV per atom
data_V2BiRhPb
_chemical_formula_sum 'V2 Bi1 Rh1 Pb1'
_cell_length_a 4.8710
_cell_length_b 4.8710
_cell_length_c 5.2096
_cell_angle_alpha 90.00
_cell_angle_beta 90.00
_cell_angle_gamma 90.00
_symmetry_space_group_name_H-M 'P 4/m m m'
_symmetry_Int_Tables_number 123
_symmetry_space_group_name_Hall '-P 4 2'
loop_
_atom_site_label
_atom_site_type_symbol
_atom_site_fract_x
_atom_site_fract_y
_atom_site_fract_z
V1 V 0.0000 0.5000 0.0000
Bi1 Bi 0.0000 0.0000 0.5000
Rh1 Rh 0.0000 0.0000 0.0000
Pb1 Pb 0.5000 0.5000 0.5000

# La6Hg2Pt, optimized geometry, DFT PBE-GGA
# * energy of formation: -438 meV per atom
# * total DFT energy (no corrections): -4.461 eV per atom
data_La6Hg2Pt
_chemical_formula_sum 'La12 Hg4 Pt2'
_cell_length_a 6.5837
_cell_length_b 8.2135
_cell_length_c 12.5149
_cell_angle_alpha 90.00
_cell_angle_beta 119.23
_cell_angle_gamma 90.00
_symmetry_space_group_name_H-M 'P 1 21/c 1'
_symmetry_Int_Tables_number 14
loop_
_symmetry_equiv_pos_as_xyz
'x,y,z'
'-x,-y,-z'
'-x,y+1/2,-z+1/2'
'x,-y+1/2,z+1/2'
loop_
_atom_site_label
_atom_site_type_symbol
_atom_site_fract_x
_atom_site_fract_y
_atom_site_fract_z
La1 La 0.0937 0.2012 0.4519
La2 La 0.3081 0.6572 0.4537
La3 La 0.3755 0.0279 0.2461
Hg1 Hg 0.1407 0.1143 0.7337
Pt1 Pt 0.5000 0.0000 0.5000

# Tl2CrPb, optimized geometry, DFT PBE-GGA
# * energy of formation: 436 meV per atom
# * total DFT energy (no corrections): -4.080 eV per atom
data_Tl2CrPb
_chemical_formula_sum 'Tl4 Cr2 Pb2'
_cell_length_a 4.7273
_cell_length_b 4.7273
_cell_length_c 9.5064
_cell_angle_alpha 90.00
_cell_angle_beta 90.00
_cell_angle_gamma 90.00
_symmetry_space_group_name_H-M 'I 4/m m m'
_symmetry_Int_Tables_number 139
_symmetry_space_group_name_Hall '-I 4 2'
loop_
_atom_site_label
_atom_site_type_symbol
_atom_site_fract_x
_atom_site_fract_y
_atom_site_fract_z
Tl1 Tl 0.0000 0.5000 0.2500
Cr1 Cr 0.0000 0.0000 0.0000
Pb1 Pb 0.0000 0.0000 0.5000

# LiRe3Sb, optimized geometry, DFT PBE-GGA
# * total DFT energy (no corrections): -7.161 eV per atom
data_LiRe3Sb
_chemical_formula_sum 'Li1 Re3 Sb1'
_cell_length_a 4.2475
_cell_length_b 4.2475
_cell_length_c 4.2475
_cell_angle_alpha 90.00
_cell_angle_beta 90.00
_cell_angle_gamma 90.00
_symmetry_space_group_name_H-M 'P m -3 m'
_symmetry_Int_Tables_number 221
_symmetry_space_group_name_Hall '-P 4 2 3'
loop_
_atom_site_label
_atom_site_type_symbol
_atom_site_fract_x
_atom_site_fract_y
_atom_site_fract_z
Li1 Li 0.0000 0.0000 0.0000
Re1 Re 0.0000 0.0000 0.5000
Sb1 Sb 0.5000 0.5000 0.5000

# Ac2PmGa4, optimized geometry, DFT PBE-GGA
# * energy of formation: -568 meV per atom
# * total DFT energy (no corrections): -4.150 eV per atom
data_Ac2PmGa4
_chemical_formula_sum 'Ac4 Pm2 Ga8'
_cell_length_a 4.2990
_cell_length_b 4.5137
_cell_length_c 19.7466
_cell_angle_alpha 90.00
_cell_angle_beta 90.00
_cell_angle_gamma 90.00
_symmetry_space_group_name_H-M 'I m m m'
_symmetry_Int_Tables_number 71
_symmetry_space_group_name_Hall '-I 2 2'
loop_
_atom_site_label
_atom_site_type_symbol
_atom_site_fract_x
_atom_site_fract_y
_atom_site_fract_z
Ac1 Ac 0.0000 0.0000 0.1829
Pm1 Pm 0.0000 0.5000 0.5000
Ga1 Ga 0.0000 0.0000 0.3683
Ga2 Ga 0.0000 0.5000 0.0617

# CaPmGe4, optimized geometry, DFT PBE-GGA
# * energy of formation: -358 meV per atom
# * total DFT energy (no corrections): -4.562 eV per atom
data_CaPmGe4
_chemical_formula_sum 'Ca4 Pm4 Ge16'
_cell_length_a 8.0829
_cell_length_b 8.0829
_cell_length_c 8.0829
_cell_angle_alpha 90.00
_cell_angle_beta 90.00
_cell_angle_gamma 90.00
_symmetry_space_group_name_H-M 'F -4 3 m'
_symmetry_Int_Tables_number 216
_symmetry_space_group_name_Hall 'F -4 2 3'
loop_
_atom_site_label
_atom_site_type_symbol
_atom_site_fract_x
_atom_site_fract_y
_atom_site_fract_z
Ca1 Ca 0.0000 0.0000 0.0000
Pm1 Pm 0.2500 0.2500 0.2500
Ge1 Ge 0.1249 0.1249 0.6249

# Ba2DyAu, optimized geometry, DFT PBE-GGA
# * energy of formation: 78 meV per atom
# * total DFT energy (no corrections): -2.854 eV per atom
data_Ba2DyAu
_chemical_formula_sum 'Ba6 Dy3 Au3'
_cell_length_a 4.0302
_cell_length_b 4.0302
_cell_length_c 35.8240
_cell_angle_alpha 90.00
_cell_angle_beta 90.00
_cell_angle_gamma 120.00
_symmetry_space_group_name_H-M 'R -3 m'
_symmetry_Int_Tables_number 166
_symmetry_space_group_name_Hall '-R 3 2"'
loop_
_atom_site_label
_atom_site_type_symbol
_atom_site_fract_x
_atom_site_fract_y
_atom_site_fract_z
Ba1 Ba 0.0000 0.0000 0.1035
Dy1 Dy 0.0000 0.0000 0.0000
Au1 Au 0.0000 0.0000 0.5000